# NdU2O6

A geometry-optimized NdU2O6 structure (PBE, the Alexandria database).

Computed properties:
* symmetry: P-3m1 (164)

Cell: 3.8812 3.8812 9.3530 Å, 90.00 90.00 120.00°
Fractional coordinates of all 9 atoms:
Nd1 0.0000 0.0000 0.0000
U1 0.3333 0.6667 0.6656
U2 0.6667 0.3333 0.3344
O1 0.0000 0.0000 0.2697
O2 0.0000 0.0000 0.7303
O3 0.3333 0.6667 0.4219
O4 0.3333 0.6667 0.8973
O5 0.6667 0.3333 0.1027
O6 0.6667 0.3333 0.5781

# Nd3U2O10

A geometry-optimized Nd3U2O10 structure (PBE, the Alexandria database).

Computed properties:
* symmetry: C2/m (12)

Cell: 6.6057 6.6057 8.5240 Å, 128.02 128.02 49.15°
Fractional coordinates of all 15 atoms:
Nd1 0.0000 0.0000 0.0000
Nd2 0.3992 0.3992 0.5970
Nd3 0.6008 0.6008 0.4030
U1 0.1927 0.1927 0.7917
U2 0.8073 0.8073 0.2083
O1 0.0549 0.5297 0.7133
O2 0.1380 0.6469 0.1101
O3 0.2255 0.7745 0.5000
O4 0.3531 0.8620 0.8899
O5 0.4703 0.9451 0.2867
O6 0.5297 0.0549 0.7133
O7 0.6469 0.1380 0.1101
O8 0.7745 0.2255 0.5000
O9 0.8620 0.3531 0.8899
O10 0.9451 0.4703 0.2867

# NdU2O8

A geometry-optimized NdU2O8 structure (PBE, the Alexandria database).

Computed properties:
* symmetry: C2/m (12)

Cell: 6.1054 6.1054 4.0477 Å, 93.90 93.90 115.02°
Fractional coordinates of all 11 atoms:
Nd1 0.0000 0.0000 0.0000
U1 0.3226 0.6774 0.5000
U2 0.6774 0.3226 0.5000
O1 0.0651 0.3287 0.5545
O2 0.2485 0.7515 0.0000
O3 0.3287 0.0651 0.5545
O4 0.3969 0.3969 0.1888
O5 0.6031 0.6031 0.8112
O6 0.6713 0.9349 0.4455
O7 0.7515 0.2485 0.0000
O8 0.9349 0.6713 0.4455

# Nd6UO12

A geometry-optimized Nd6UO12 structure (PBE, the Alexandria database).

Computed properties:
* symmetry: R-3 (148)

Cell: 6.8210 6.8210 6.8210 Å, 98.83 98.83 98.83°
Fractional coordinates of all 19 atoms:
Nd1 0.1105 0.6452 0.8154
Nd2 0.1846 0.8895 0.3548
Nd3 0.3548 0.1846 0.8895
Nd4 0.6452 0.8154 0.1105
Nd5 0.8154 0.1105 0.6452
Nd6 0.8895 0.3548 0.1846
U1 0.5000 0.5000 0.5000
O1 0.0650 0.3226 0.9099
O2 0.0901 0.9350 0.6774
O3 0.1998 0.5440 0.4288
O4 0.3226 0.9099 0.0650
O5 0.4288 0.1998 0.5440
O6 0.4560 0.5712 0.8002
O7 0.5440 0.4288 0.1998
O8 0.5712 0.8002 0.4560
O9 0.6774 0.0901 0.9350
O10 0.8002 0.4560 0.5712
O11 0.9099 0.0650 0.3226
O12 0.9350 0.6774 0.0901

no.,total DFT energy (no corrections) (eV/atom),density of states at the Fermi level (states/eV/cell)
1,-9.72,8.90
2,-9.14,3.13
3,-8.93,0.17
4,-8.64,0.00